# 1
Entry from the Alexandria database: an optimized crystal structure of SrV2Ru2 (PBE).

Properties
magnetic moment	0.0	μB/f.u.
DFT formation energy	10	meV/atom
symmetry	No. 139
DOS(E_F)	1.021	states/eV per atom
relative energy among the computed polymorphs	0.0	meV per atom
crystal system	tetragonal

a b c (Å): 6.293 6.293 6.293
angles (deg): 141.57 141.57 55.47
Sites, in units of the cell vectors:
Sr 0.000 0.000 0.000
V 0.250 0.750 0.500
V 0.750 0.250 0.500
Ru 0.369 0.369 0.000
Ru 0.631 0.631 0.000

=====

# 2
Entry from the Alexandria database: an optimized crystal structure of Ce3Sn5Rh6 (PBE).

Properties
magnetic moment	0.4	μB/f.u.
DFT formation energy	-704	meV/atom
symmetry	No. 59
DOS(E_F)	0.963	states/eV per atom
crystal system	orthorhombic

a b c (Å): 4.374 14.283 9.327
angles (deg): 90.00 90.00 90.00
Sites, in units of the cell vectors:
Ce 0.250 0.068 0.246
Ce 0.250 0.432 0.246
Ce 0.250 0.750 0.316
Ce 0.750 0.250 0.684
Ce 0.750 0.568 0.754
Ce 0.750 0.932 0.754
Sn 0.250 0.076 0.614
Sn 0.250 0.424 0.614
Sn 0.250 0.634 0.014
Sn 0.250 0.750 0.732
Sn 0.250 0.866 0.014
Sn 0.750 0.134 0.986
Sn 0.750 0.250 0.268
Sn 0.750 0.366 0.986
Sn 0.750 0.576 0.386
Sn 0.750 0.924 0.386
Rh 0.250 0.041 0.900
Rh 0.250 0.250 0.064
Rh 0.250 0.250 0.480
Rh 0.250 0.459 0.900
Rh 0.250 0.612 0.540
Rh 0.250 0.888 0.540
Rh 0.750 0.112 0.460
Rh 0.750 0.388 0.460
Rh 0.750 0.541 0.100
Rh 0.750 0.750 0.520
Rh 0.750 0.750 0.936
Rh 0.750 0.959 0.100

=====

# 3
Entry from the Alexandria database: an optimized crystal structure of CaCu2Ag (PBE).

Properties
magnetic moment	0.0	μB/f.u.
DFT formation energy	-78	meV/atom
symmetry	No. 160
DOS(E_F)	0.555	states/eV per atom
relative energy among the computed polymorphs	0.0	meV per atom
crystal system	trigonal

a b c (Å): 5.519 5.519 5.519
angles (deg): 46.25 46.25 46.25
Sites, in units of the cell vectors:
Ca 0.000 0.000 0.000
Cu 0.475 0.475 0.475
Cu 0.798 0.798 0.798
Ag 0.203 0.203 0.203

=====

# 4
Entry from the Alexandria database: an optimized crystal structure of KScSeCl2 (PBE).

Properties
ΔE_f (raw)	-9.03	eV per formula unit
magnetic moment	0.0	μB/f.u.
symmetry	No. 123
crystal system	tetragonal

a b c (Å): 5.128 5.128 5.206
angles (deg): 90.00 90.00 90.00
Sites, in units of the cell vectors:
K 0.000 0.000 0.000
Sc 0.500 0.500 0.500
Se 0.500 0.500 0.000
Cl 0.000 0.500 0.500
Cl 0.500 0.000 0.500

=====

# 5
Entry from the Alexandria database: an optimized crystal structure of Pa2OsC (PBE).

Properties
magnetic moment	0.0	μB/f.u.
DFT formation energy	-159	meV/atom
symmetry	No. 62
DOS(E_F)	1.084	states/eV per atom
relative energy among the computed polymorphs	46.9	meV per atom
crystal system	orthorhombic

a b c (Å): 13.341 3.342 7.034
angles (deg): 90.00 90.00 90.00
Sites, in units of the cell vectors:
Pa 0.020 0.250 0.226
Pa 0.220 0.250 0.893
Pa 0.280 0.750 0.393
Pa 0.480 0.750 0.726
Pa 0.520 0.250 0.274
Pa 0.720 0.250 0.607
Pa 0.780 0.750 0.107
Pa 0.980 0.750 0.774
Os 0.128 0.250 0.565
Os 0.372 0.750 0.065
Os 0.628 0.250 0.935
Os 0.872 0.750 0.435
C 0.101 0.750 0.031
C 0.399 0.250 0.531
C 0.601 0.750 0.469
C 0.899 0.250 0.969

=====

# 6
Entry from the Alexandria database: an optimized crystal structure of Rb2Br6OF (PBE).

Properties
ΔE_f (raw)	-4.90	eV per formula unit
magnetic moment	0.0	μB/f.u.
symmetry	No. 139
DOS(E_F)	0.392	states/eV per atom
crystal system	tetragonal

a b c (Å): 7.257 7.257 7.257
angles (deg): 114.94 114.94 99.02
Sites, in units of the cell vectors:
Rb 0.250 0.750 0.500
Rb 0.750 0.250 0.500
Br 0.231 0.231 0.000
Br 0.285 0.285 0.571
Br 0.285 0.715 0.000
Br 0.715 0.285 0.000
Br 0.715 0.715 0.429
Br 0.769 0.769 0.000
O 0.500 0.500 0.000
F 0.000 0.000 0.000

=====

# 7
Entry from the Alexandria database: an optimized crystal structure of SrPbSeBr2 (PBE).

Properties
ΔE_f (raw)	-6.66	eV per formula unit
magnetic moment	0.0	μB/f.u.
symmetry	No. 63
relative energy among the computed polymorphs	0.0	meV per atom
crystal system	orthorhombic

a b c (Å): 7.453 7.453 10.644
angles (deg): 90.00 90.00 145.60
Sites, in units of the cell vectors:
Sr 0.232 0.768 0.750
Sr 0.768 0.232 0.250
Pb 0.500 0.500 0.000
Pb 0.500 0.500 0.500
Se 0.411 0.589 0.250
Se 0.589 0.411 0.750
Br 0.152 0.848 0.069
Br 0.152 0.848 0.431
Br 0.848 0.152 0.569
Br 0.848 0.152 0.931

=====

# 8
Entry from the Alexandria database: an optimized crystal structure of Sb2Pd2Br (PBE).

Properties
ΔE_f (raw)	-1.43	eV per formula unit
magnetic moment	0.0	μB/f.u.
symmetry	No. 139
DOS(E_F)	0.338	states/eV per atom
relative energy among the computed polymorphs	0.0	meV per atom
crystal system	tetragonal

a b c (Å): 8.324 8.324 8.324
angles (deg): 152.56 152.56 39.20
Sites, in units of the cell vectors:
Sb 0.133 0.133 0.000
Sb 0.867 0.867 0.000
Pd 0.250 0.750 0.500
Pd 0.750 0.250 0.500
Br 0.500 0.500 0.000

=====

# 9
Entry from the Alexandria database: an optimized crystal structure of CaHfIN2 (PBE).

Properties
ΔE_f (raw)	6.92	eV per formula unit
magnetic moment	0.0	μB/f.u.
symmetry	No. 123
DOS(E_F)	1.005	states/eV per atom
relative energy among the computed polymorphs	1693.9	meV per atom
crystal system	tetragonal

a b c (Å): 4.362 4.362 5.511
angles (deg): 90.00 90.00 90.00
Sites, in units of the cell vectors:
Ca 0.000 0.000 0.000
Hf 0.500 0.500 0.500
I 0.000 0.000 0.500
N 0.000 0.500 0.000
N 0.500 0.000 0.000

=====

# 10
Entry from the Alexandria database: an optimized crystal structure of Hf3Ti5O2 (PBE).

Properties
ΔE_f (raw)	-8.64	eV per formula unit
magnetic moment	0.0	μB/f.u.
symmetry	No. 72
DOS(E_F)	1.148	states/eV per atom
crystal system	orthorhombic

a b c (Å): 8.462 8.462 8.462
angles (deg): 119.39 77.30 136.81
Sites, in units of the cell vectors:
Hf 0.116 0.730 0.846
Hf 0.250 0.250 0.000
Hf 0.384 0.230 0.614
Hf 0.616 0.770 0.386
Hf 0.750 0.750 0.000
Hf 0.884 0.270 0.154
Ti 0.028 0.250 0.778
Ti 0.119 0.260 0.379
Ti 0.250 0.750 0.500
Ti 0.381 0.760 0.141
Ti 0.472 0.250 0.222
Ti 0.528 0.750 0.778
Ti 0.619 0.240 0.859
Ti 0.750 0.250 0.500
Ti 0.881 0.740 0.621
Ti 0.972 0.750 0.222
O 0.244 0.135 0.379
O 0.256 0.635 0.891
O 0.744 0.365 0.109
O 0.756 0.865 0.621

=====

# 11
Entry from the Alexandria database: an optimized crystal structure of LaPbCl (PBE).

Properties
ΔE_f (raw)	-3.09	eV per formula unit
magnetic moment	0.0	μB/f.u.
symmetry	No. 107
DOS(E_F)	0.446	states/eV per atom
relative energy among the computed polymorphs	160.1	meV per atom
crystal system	tetragonal

a b c (Å): 6.835 6.835 6.835
angles (deg): 147.92 147.92 46.01
Sites, in units of the cell vectors:
La 0.000 0.000 0.000
Pb 0.298 0.298 0.000
Cl 0.593 0.593 0.000

=====

# 12
Entry from the Alexandria database: an optimized crystal structure of PrNdErHg (PBE).

Properties
magnetic moment	0.0	μB/f.u.
DFT formation energy	-81	meV/atom
symmetry	No. 216
DOS(E_F)	1.465	states/eV per atom
relative energy among the computed polymorphs	151.8	meV per atom
crystal system	cubic

a b c (Å): 5.536 5.536 5.536
angles (deg): 60.00 60.00 60.00
Sites, in units of the cell vectors:
Pr 0.000 0.000 0.000
Nd 0.500 0.500 0.500
Er 0.750 0.750 0.750
Hg 0.250 0.250 0.250